Here is a relaxed NbCoReI crystal from Alexandria via LeMat-Bulk. Energies are from PBE.

Cell and atoms, written as CIF:
```
data_NbCoReI
_cell_length_a 4.2507
_cell_length_b 4.2507
_cell_length_c 13.8181
_cell_angle_alpha 90.00
_cell_angle_beta 90.00
_cell_angle_gamma 120.00
_space_group_name_H-M_alt 'R 3 m'
_space_group_IT_number 160
_space_group_name_Hall 'R 3 -2"'
loop_
_atom_site_label
_atom_site_type_symbol
_atom_site_fract_x
_atom_site_fract_y
_atom_site_fract_z
Nb1 Nb 0.0000 0.0000 0.0000
Co1 Co 0.0000 0.0000 0.6108
Re1 Re 0.0000 0.0000 0.2109
I1 I 0.0000 0.0000 0.7875
```

## Properties
The calculation puts the raw formation energy at 666 meV/atom.

=====

Here is a relaxed Cd3HgBi crystal from Alexandria via LeMat-Bulk. Energies are from PBE.

Cell and atoms, written as CIF:
```
data_Cd3HgBi
_cell_length_a 11.981
_cell_length_b 11.812
_cell_length_c 7.719
_cell_angle_alpha 90.00
_cell_angle_beta 90.00
_cell_angle_gamma 90.00
_space_group_name_H-M_alt 'C m c e'
_space_group_IT_number 64
_space_group_name_Hall '-C 2ac 2'
loop_
_atom_site_label
_atom_site_type_symbol
_atom_site_fract_x
_atom_site_fract_y
_atom_site_fract_z
Cd1 Cd 0.000 0.055 0.201
Cd2 Cd 0.154 0.146 0.874
Hg1 Hg 0.000 0.172 0.552
Bi1 Bi 0.250 0.116 0.250
```

## Properties
The value obtained for the formation energy from the elements is 0.05 eV/atom.

=====

Sequential raw total energy output: -7.128, -1.332 eV per atom
Sequential energy above the most stable polymorph in this dataset output: 0.189, 0.000 eV/atom